# 1
! GGA-PBEsol Y2AlGe3, relaxed; values from VASP
&SYSTEM
  ibrav = 0, nat = 24, ntyp = 3
/
ATOMIC_SPECIES
Y 88.91 Y.upf
Al 26.98 Al.upf
Ge 72.64 Ge.upf
CELL_PARAMETERS angstrom
4.1456 0.0000 0.0000
0.0000 6.7355 0.0000
0.0000 0.0000 17.4843
ATOMIC_POSITIONS crystal
Y 0.7500 0.3327 0.5847
Y 0.7500 0.8395 0.7045
Y 0.7500 0.8327 0.9153
Y 0.2500 0.1673 0.0847
Y 0.2500 0.1605 0.2955
Y 0.7500 0.3395 0.7955
Y 0.2500 0.6605 0.2045
Y 0.2500 0.6673 0.4153
Al 0.7500 0.0461 0.4349
Al 0.2500 0.4539 0.9349
Al 0.7500 0.5461 0.0651
Al 0.2500 0.9539 0.5651
Ge 0.7500 0.9572 0.1710
Ge 0.2500 0.0428 0.8290
Ge 0.2500 0.7503 0.0355
Ge 0.2500 0.1531 0.6892
Ge 0.2500 0.2503 0.4645
Ge 0.7500 0.7497 0.5355
Ge 0.2500 0.6531 0.8108
Ge 0.2500 0.5428 0.6710
Ge 0.7500 0.4572 0.3290
Ge 0.7500 0.3469 0.1892
Ge 0.7500 0.8469 0.3108
Ge 0.7500 0.2497 0.9645
! * DOS at the Fermi energy: 10.0 states/eV per cell
! * energy of formation: -0.72 eV/atom

=====

# 2
! GGA-PBEsol AlZnGe3, relaxed; values from VASP
&SYSTEM
  ibrav = 0, nat = 5, ntyp = 3
/
ATOMIC_SPECIES
Ge 72.64 Ge.upf
Al 26.98 Al.upf
Zn 65.41 Zn.upf
CELL_PARAMETERS angstrom
-4.5568 0.4156 1.4857
-1.1077 -4.1061 -2.2489
1.0737 -2.4722 3.9850
ATOMIC_POSITIONS crystal
Ge 0.0000 0.5000 0.0000
Ge 0.0000 0.0000 0.5000
Ge 0.5000 0.0000 0.0000
Al 0.0000 0.0000 0.0000
Zn 0.5000 0.5000 0.5000
! * DOS at the Fermi energy: 2.7 states/eV per cell
! * energy of formation: 0.70 eV/atom

=====

# 3
! GGA-PBEsol ZrAlGe3, relaxed; values from VASP
&SYSTEM
  ibrav = 0, nat = 5, ntyp = 3
/
ATOMIC_SPECIES
Ge 72.64 Ge.upf
Al 26.98 Al.upf
Zr 91.22 Zr.upf
CELL_PARAMETERS angstrom
5.1131 0.0000 0.0000
0.0000 5.1131 0.0000
0.0000 0.0000 5.1131
ATOMIC_POSITIONS crystal
Ge 0.0000 0.0000 0.5000
Ge 0.5000 0.0000 0.0000
Ge 0.0000 0.5000 0.0000
Al 0.5000 0.5000 0.5000
Zr 0.0000 0.0000 0.0000
! * DOS at the Fermi energy: 1.8 states/eV per cell
! * energy of formation: 0.57 eV/atom

=====

For each record above, in turn, the calculated total moment values are 0.0 0.0 0.0 μB/f.u..